(1)
# Rb2NaCdCl4

A relaxed structure of Rb2NaCdCl4 (PBE-GGA, Alexandria via LeMat-Bulk).

Values from the calculation:
- DOS(E_F) (states/eV per atom) = 0.417
- space-group type = Fddd, No. 70
- calculated total energy (eV per atom) = -2.832
- crystal system = orthorhombic
- calculated volume (Å³/cell) = 549.04
- E_form (uncorrected) (eV per atom) = -1.39

Unit cell a=13.885 b=12.120 c=8.100 alpha=84.23 beta=60.29 gamma=35.48
Element x y z (fractional)
1 Rb 0.056 0.056 0.694
2 Rb 0.306 0.306 0.944
3 Rb 0.694 0.694 0.056
4 Rb 0.944 0.944 0.306
5 Na 0.125 0.125 0.125
6 Na 0.875 0.875 0.875
7 Cd 0.375 0.375 0.375
8 Cd 0.625 0.625 0.625
9 Cl 0.082 0.283 0.407
10 Cl 0.272 0.593 0.717
11 Cl 0.283 0.082 0.728
12 Cl 0.407 0.728 0.082
13 Cl 0.593 0.272 0.918
14 Cl 0.717 0.918 0.272
15 Cl 0.728 0.407 0.283
16 Cl 0.918 0.717 0.593

(2)
# RbLiF3

A relaxed structure of RbLiF3 (PBE-GGA, Alexandria via LeMat-Bulk).

Values from the calculation:
- DOS(E_F) (states/eV per atom) = 0.368
- space-group type = Pm-3m, No. 221
- calculated total energy (eV per atom) = -3.299
- crystal system = cubic
- calculated volume (Å³/cell) = 124.35
- polymorph energy (0 for the lowest one) (meV per atom) = 679
- E_form (uncorrected) (eV per atom) = -1.60

Unit cell a=4.991 b=4.991 c=4.991 alpha=90.00 beta=90.00 gamma=90.00
Element x y z (fractional)
1 Rb 0.000 0.000 0.000
2 Li 0.500 0.500 0.500
3 F 0.000 0.000 0.500
4 F 0.000 0.500 0.000
5 F 0.500 0.000 0.000

(3)
# SmY4Tm

A relaxed structure of SmY4Tm (PBE-GGA, Alexandria via LeMat-Bulk).

Values from the calculation:
- DOS(E_F) (states/eV per atom) = 1.779
- space-group type = P6/mmm, No. 191
- calculated total energy (eV per atom) = -5.770
- crystal system = hexagonal
- calculated volume (Å³/cell) = 191.96
- polymorph energy (0 for the lowest one) (meV per atom) = 0
- ΔH_f (0 K) (eV per atom) = 0.071

Unit cell a=5.645 b=5.645 c=6.954 alpha=90.00 beta=90.00 gamma=120.00
Element x y z (fractional)
1 Sm 0.000 0.000 0.000
2 Y 0.333 0.667 0.254
3 Y 0.333 0.667 0.746
4 Y 0.667 0.333 0.254
5 Y 0.667 0.333 0.746
6 Tm 0.000 0.000 0.500

(4)
# SrZrPb2

A relaxed structure of SrZrPb2 (PBE-GGA, Alexandria via LeMat-Bulk).

Values from the calculation:
- DOS(E_F) (states/eV per atom) = 0.634
- space-group type = C2/m, No. 12
- calculated total energy (eV per atom) = -4.536
- crystal system = monoclinic
- calculated volume (Å³/cell) = 225.05
- ΔH_f (0 K) (eV per atom) = -0.124

Unit cell a=7.256 b=9.061 c=3.423 alpha=90.00 beta=90.75 gamma=90.00
Element x y z (fractional)
1 Sr 0.000 0.000 0.000
2 Sr 0.500 0.500 0.000
3 Zr 0.000 0.500 0.000
4 Zr 0.500 0.000 0.000
5 Pb 0.250 0.250 0.500
6 Pb 0.250 0.750 0.500
7 Pb 0.750 0.250 0.500
8 Pb 0.750 0.750 0.500

(5)
# NaZnInCu

A relaxed structure of NaZnInCu (PBE-GGA, Alexandria via LeMat-Bulk).

Values from the calculation:
- DOS(E_F) (states/eV per atom) = 0.399
- space-group type = F-43m, No. 216
- calculated total energy (eV per atom) = -2.274
- crystal system = cubic
- calculated volume (Å³/cell) = 299.04
- ΔH_f (0 K) (eV per atom) = 0.083

Unit cell a=6.687 b=6.687 c=6.687 alpha=90.00 beta=90.00 gamma=90.00
Element x y z (fractional)
1 Na 0.000 0.000 0.000
2 Na 0.000 0.500 0.500
3 Na 0.500 0.000 0.500
4 Na 0.500 0.500 0.000
5 Zn 0.250 0.250 0.250
6 Zn 0.250 0.750 0.750
7 Zn 0.750 0.250 0.750
8 Zn 0.750 0.750 0.250
9 In 0.000 0.000 0.500
10 In 0.000 0.500 0.000
11 In 0.500 0.000 0.000
12 In 0.500 0.500 0.500
13 Cu 0.250 0.250 0.750
14 Cu 0.250 0.750 0.250
15 Cu 0.750 0.250 0.250
16 Cu 0.750 0.750 0.750

(6)
# ZnPd6Au8

A relaxed structure of ZnPd6Au8 (PBE-GGA, Alexandria via LeMat-Bulk).

Values from the calculation:
- DOS(E_F) (states/eV per atom) = 0.157
- space-group type = R-3, No. 148
- calculated total energy (eV per atom) = -3.930
- crystal system = trigonal
- calculated volume (Å³/cell) = 278.36
- polymorph energy (0 for the lowest one) (meV per atom) = 0
- ΔH_f (0 K) (eV per atom) = -0.020

Unit cell a=7.053 b=7.053 c=7.053 alpha=65.62 beta=65.62 gamma=65.62
Element x y z (fractional)
1 Zn 0.000 0.000 0.000
2 Pd 0.054 0.727 0.364
3 Pd 0.273 0.636 0.946
4 Pd 0.364 0.054 0.727
5 Pd 0.636 0.946 0.273
6 Pd 0.727 0.364 0.054
7 Pd 0.946 0.273 0.636
8 Au 0.115 0.469 0.778
9 Au 0.222 0.885 0.531
10 Au 0.327 0.327 0.327
11 Au 0.469 0.778 0.115
12 Au 0.531 0.222 0.885
13 Au 0.673 0.673 0.673
14 Au 0.778 0.115 0.469
15 Au 0.885 0.531 0.222

(7)
# MnPRh2

A relaxed structure of MnPRh2 (PBE-GGA, Alexandria via LeMat-Bulk).

Values from the calculation:
- DOS(E_F) (states/eV per atom) = 1.037
- space-group type = Pmm2, No. 25
- calculated total energy (eV per atom) = -7.519
- crystal system = orthorhombic
- calculated volume (Å³/cell) = 55.78
- ΔH_f (0 K) (eV per atom) = -0.198

Unit cell a=2.924 b=3.753 c=5.083 alpha=90.00 beta=90.00 gamma=90.00
Element x y z (fractional)
1 Mn 0.000 0.000 0.000
2 P 0.500 0.500 0.328
3 Rh 0.000 0.000 0.487
4 Rh 0.500 0.500 0.822

(8)
# KSn2BiI8

A relaxed structure of KSn2BiI8 (PBE-GGA, Alexandria via LeMat-Bulk).

Values from the calculation:
- DOS(E_F) (states/eV per atom) = 0.000
- space-group type = P-1, No. 2
- calculated total energy (eV per atom) = -2.725
- crystal system = triclinic
- calculated volume (Å³/cell) = 553.58
- E_form (uncorrected) (eV per atom) = -0.61

Unit cell a=7.418 b=7.807 c=9.560 alpha=89.96 beta=89.94 gamma=88.95
Element x y z (fractional)
1 K 0.000 0.000 0.000
2 Sn 0.500 0.500 0.250
3 Sn 0.500 0.500 0.750
4 Bi 0.000 0.000 0.500
5 I 0.240 0.330 0.500
6 I 0.252 0.840 0.273
7 I 0.252 0.840 0.727
8 I 0.274 0.363 0.000
9 I 0.726 0.637 0.000
10 I 0.748 0.160 0.273
11 I 0.748 0.160 0.727
12 I 0.760 0.670 0.500

(9)
# CrMo3N

A relaxed structure of CrMo3N (PBE-GGA, Alexandria via LeMat-Bulk).

Values from the calculation:
- DOS(E_F) (states/eV per atom) = 1.310
- space-group type = Pm-3m, No. 221
- calculated total energy (eV per atom) = -7.798
- crystal system = cubic
- calculated volume (Å³/cell) = 87.17
- polymorph energy (0 for the lowest one) (meV per atom) = 2213
- E_form (uncorrected) (eV per atom) = 2.29

Unit cell a=4.434 b=4.434 c=4.434 alpha=90.00 beta=90.00 gamma=90.00
Element x y z (fractional)
1 Cr 0.000 0.000 0.000
2 Mo 0.000 0.000 0.500
3 Mo 0.000 0.500 0.000
4 Mo 0.500 0.000 0.000
5 N 0.500 0.500 0.500

(10)
# SbH3F9

A relaxed structure of SbH3F9 (PBE-GGA, Alexandria via LeMat-Bulk).

Values from the calculation:
- DOS(E_F) (states/eV per atom) = 0.902
- space-group type = Cc, No. 9
- calculated total energy (eV per atom) = -4.110
- crystal system = monoclinic
- calculated volume (Å³/cell) = 370.20

Unit cell a=7.761 b=7.761 c=9.763 alpha=121.95 beta=121.95 gamma=50.99
Element x y z (fractional)
1 Sb 0.248 0.752 0.500
2 Sb 0.752 0.248 0.000
3 H 0.015 0.431 0.612
4 H 0.034 0.504 0.845
5 H 0.236 0.279 0.000
6 H 0.279 0.236 0.500
7 H 0.431 0.015 0.112
8 H 0.504 0.034 0.345
9 F 0.021 0.700 0.476
10 F 0.047 0.866 0.307
11 F 0.061 0.332 0.501
12 F 0.062 0.108 0.145
13 F 0.108 0.062 0.645
14 F 0.167 0.441 0.997
15 F 0.332 0.061 0.001
16 F 0.388 0.442 0.356
17 F 0.441 0.167 0.497
18 F 0.442 0.388 0.856
19 F 0.449 0.637 0.692
20 F 0.475 0.804 0.524
21 F 0.564 0.937 0.245
22 F 0.637 0.449 0.192
23 F 0.700 0.021 0.976
24 F 0.804 0.475 0.024
25 F 0.866 0.047 0.807
26 F 0.937 0.564 0.745

(11)
# Mg2ZnCu

A relaxed structure of Mg2ZnCu (PBE-GGA, Alexandria via LeMat-Bulk).

Values from the calculation:
- DOS(E_F) (states/eV per atom) = 0.285
- space-group type = Cmcm, No. 63
- calculated total energy (eV per atom) = -2.219
- crystal system = orthorhombic
- calculated volume (Å³/cell) = 282.63
- ΔH_f (0 K) (eV per atom) = -0.079

Unit cell a=4.371 b=7.587 c=8.523 alpha=90.00 beta=90.00 gamma=90.00
Element x y z (fractional)
1 Mg 0.000 0.166 0.084
2 Mg 0.000 0.166 0.416
3 Mg 0.000 0.834 0.584
4 Mg 0.000 0.834 0.916
5 Mg 0.500 0.334 0.584
6 Mg 0.500 0.334 0.916
7 Mg 0.500 0.666 0.084
8 Mg 0.500 0.666 0.416
9 Zn 0.000 0.499 0.250
10 Zn 0.000 0.501 0.750
11 Zn 0.500 0.001 0.750
12 Zn 0.500 0.999 0.250
13 Cu 0.000 0.168 0.750
14 Cu 0.000 0.832 0.250
15 Cu 0.500 0.332 0.250
16 Cu 0.500 0.668 0.750